# Rb2TmPu2Se6, relaxed, DFT PBE
data_Rb2TmPu2Se6
_chemical_formula_sum 'Rb4 Tm2 Pu4 Se12'
_cell_length_a 7.2469
_cell_length_b 12.5436
_cell_length_c 8.5048
_cell_angle_alpha 90.00
_cell_angle_beta 106.43
_cell_angle_gamma 90.00
_space_group_name_H-M_alt 'C 1 2/m 1'
_space_group_IT_number 12
_space_group_name_Hall '-C 2y'
loop_
_atom_site_label
_atom_site_type_symbol
_atom_site_fract_x
_atom_site_fract_y
_atom_site_fract_z
_atom_site_occupancy
Rb1 Rb 0.0000 0.1665 0.0000 1
Tm1 Tm 0.0000 0.0000 0.5000 1
Pu1 Pu 0.0000 0.3336 0.5000 1
Se1 Se 0.2287 0.1663 0.6893 1
Se2 Se 0.2315 0.5000 0.6892 1
# Total moment ... 9.00 μB per formula unit
# VASP energy ... -145.27 eV for the cell shown